Record 1
## Zn4Cu2Ni3 (PBE)

Data for a relaxed Zn4Cu2Ni3 crystal.

crystal system: triclinic

Cell: 3.7731 4.3735 7.6631 Å, 77.51 89.92 64.52°
Closest atoms and distances in Å follow each position.
Space group P-1 (No. 2)
Inequivalent atoms, fractional coordinates:
Zn (0.0099, 0.4805, 0.3392) (multiplicity 2)  6 Ni 2.49-2.63, 3 Zn 2.51-2.71, 3 Cu 2.54-2.61
Zn (0.3361, 0.8280, 0.1121) (multiplicity 2)  4 Ni 2.53-2.59, 4 Cu 2.56-2.58, 4 Zn 2.69-2.71
Cu (0.3294, 0.8410, 0.7753) (multiplicity 2)  7 Zn 2.54-2.61, 5 Ni 2.57-2.69
Ni (0.0000, 0.5000, 0.0000) (multiplicity 1)  8 Zn 2.55-2.59, 4 Cu 2.69
Ni (0.3333, 0.8328, 0.4414) (multiplicity 2)  6 Zn 2.49-2.63, 3 Ni 2.57-2.58, 3 Cu 2.57-2.64

---

Record 2
## Zn3Cu5Ni (PBE)

Data for a relaxed Zn3Cu5Ni crystal.

crystal system: tetragonal

Cell: 6.2743 6.2743 12.4340 Å, 90.00 90.00 90.00°
Closest atoms and distances in Å follow each position.
Space group I4/mcm (No. 140)
Inequivalent atoms, fractional coordinates:
Zn (0.0000, 0.0000, 0.2500) (multiplicity 4)  8 Cu 2.58
Zn (0.1274, 0.3726, 0.0000) (multiplicity 8)  1 Zn 2.26, 4 Cu 2.30-2.47
Cu (0.0000, 0.0000, 0.0000) (multiplicity 4)  4 Zn 2.47
Cu (0.2147, 0.2853, 0.3529) (multiplicity 16)  1 Ni 2.30, 1 Zn 2.30
Ni (0.0000, 0.5000, 0.2500) (multiplicity 4)  4 Cu 2.30

---

Record 3
## Zn2Cu3Ni5 (PBE)

Data for a relaxed Zn2Cu3Ni5 crystal.

crystal system: orthorhombic

Cell: 9.2908 12.0014 4.6609 Å, 90.00 90.00 90.00°
Closest atoms and distances in Å follow each position.
Space group Ibam (No. 72)
Inequivalent atoms, fractional coordinates:
Zn (0.1139, 0.2234, 0.0000) (multiplicity 8)  4 Ni 2.52-2.68, 4 Cu 2.60-2.75
Cu (0.0000, 0.0000, 0.2500) (multiplicity 4)  2 Cu 2.33, 6 Ni 2.38-2.55
Cu (0.1204, 0.3447, 0.5000) (multiplicity 8)  5 Ni 2.37-2.48, 2 Zn 2.60-2.62
Ni (0.0000, 0.5000, 0.2500) (multiplicity 4)  4 Ni 2.26-2.33, 4 Cu 2.47
Ni (0.1498, 0.1489, 0.5000) (multiplicity 8)  2 Ni 2.35, 3 Cu 2.37-2.55, 3 Zn 2.52-2.61
Ni (0.2435, 0.5000, 0.2500) (multiplicity 8)  5 Ni 2.26-2.35, 3 Cu 2.38-2.48

---

Record 4
## ZnCu8Ni6 (PBE)

Data for a relaxed ZnCu8Ni6 crystal.

crystal system: trigonal

Cell: 6.6373 6.6373 14.6957 Å, 90.00 90.00 120.00°
Closest atoms and distances in Å follow each position.
Space group R-3 (No. 148, hexagonal axes)
Inequivalent atoms, fractional coordinates:
Zn (0.0000, 0.0000, 0.0000) (multiplicity 3)  6 Ni 2.45
Cu (0.0000, 0.0000, 0.2511) (multiplicity 6)  6 Cu 2.46-2.69, 6 Ni 2.52-2.56
Cu (0.0079, 0.3074, 0.1297) (multiplicity 18)  3 Ni 2.35-2.51, 4 Cu 2.39-2.53
Ni (0.0057, 0.2827, 0.6292) (multiplicity 18)  1 Ni 2.30, 5 Cu 2.35-2.56, 1 Zn 2.45

---

Record 5
## Zn2CuNi8 (PBE)

Data for a relaxed Zn2CuNi8 crystal.

crystal system: monoclinic
distance to the lowest polymorph of the same formula: 89 meV per atom

Cell: 6.4672 12.4651 4.3010 Å, 90.00 129.95 90.00°
Closest atoms and distances in Å follow each position.
Space group C2/m (No. 12)
Inequivalent atoms, fractional coordinates:
Zn (0.0000, 0.1858, 0.0000) (multiplicity 4)  12 Ni 2.48-2.69
Cu (0.0000, 0.5000, 0.5000) (multiplicity 2)  4 Ni 2.46-2.48
Ni (0.0000, 0.3024, 0.5000) (multiplicity 4)  1 Cu 2.46, 4 Zn 2.48-2.60, 6 Ni 2.50-2.60
Ni (0.0408, 0.0000, 0.2831) (multiplicity 4)  4 Ni 2.14-2.32
Ni (0.2356, 0.3680, 0.2212) (multiplicity 8)  5 Ni 2.32-2.56, 2 Zn 2.52-2.55

---

Record 6
## Zn7CuNi2 (PBE)

Data for a relaxed Zn7CuNi2 crystal.

crystal system: trigonal

Cell: 4.1106 4.1106 10.0987 Å, 90.00 90.00 120.00°
Closest atoms and distances in Å follow each position.
Space group P3m1 (No. 156)
Inequivalent atoms, fractional coordinates:
Zn (0.0000, 0.0000, 0.0000) (multiplicity 1)  4 Ni 2.39-2.62, 1 Zn 2.60
Zn (0.0000, 0.0000, 0.2578) (multiplicity 1)  8 Zn 2.60-2.71, 3 Ni 2.81, 3 Cu 2.90
Zn (0.0000, 0.0000, 0.5258) (multiplicity 1)  1 Ni 2.40, 3 Cu 2.59
Zn (0.3333, 0.6667, 0.1421) (multiplicity 1)  3 Ni 2.40, 3 Zn 2.65
Zn (0.3333, 0.6667, 0.6813) (multiplicity 1)  3 Ni 2.51, 1 Cu 2.61
Zn (0.6667, 0.3333, 0.3653) (multiplicity 1)  3 Cu 2.44, 1 Ni 2.58, 3 Zn 2.61
Zn (0.6667, 0.3333, 0.8534) (multiplicity 1)  4 Ni 2.54-2.59, 3 Zn 2.80
Cu (0.3333, 0.6667, 0.4224) (multiplicity 1)  7 Zn 2.44-2.61
Ni (0.0000, 0.0000, 0.7633) (multiplicity 1)  8 Zn 2.39-2.54
Ni (0.6667, 0.3333, 0.1097) (multiplicity 1)  8 Zn 2.40-2.62

---

Mass density? In order: 8.5 7.8 7.9 8.2 8.3 7.2 g cm⁻³.
ΔE_f? In order: -145 207 231 163 126 -27 meV/atom.